The following is a PBE calculation of crystalline BaAl at its relaxed geometry, from the Alexandria database.

Summary:
Final energy   -0.201 Ry per atom
Space group   No. 164
Density of states at the Fermi level   5.10 states/eV/cell
Magnetic moment   0.000 Bohr magnetons per cell

The structure in POSCAR format:
```
BaAl
1.0
4.401 0.000 0.000
-2.200 3.811 0.000
0.000 0.000 10.013
Al Ba
2 2
Direct
0.000 0.000 0.074 Al
0.667 0.333 0.176 Al
0.000 0.000 0.423 Ba
0.667 0.333 0.827 Ba
```


The following is a PBE calculation of crystalline Ba3Al2 at its relaxed geometry, from the Alexandria database.

Summary:
Final energy   -0.202 Ry per atom
Space group   No. 65
Offset from the most stable computed form   0.00 kJ/mol of atoms
Density of states at the Fermi level   5.33 states/eV/cell
Magnetic moment   0.000 Bohr magnetons per cell

The structure in POSCAR format:
```
Ba3Al2
1.0
-1.754 -3.227 -3.871
4.339 -1.659 -0.583
-3.723 -5.272 6.082
Ba Al
3 2
Direct
0.500 0.500 0.000 Ba
0.000 0.852 0.703 Ba
0.000 0.148 0.297 Ba
0.500 0.287 0.575 Al
0.500 0.713 0.425 Al
```


The following is a PBE calculation of crystalline BaAl at its relaxed geometry, from the Alexandria database.

Summary:
Final energy   -0.170 Ry per atom
Space group   No. 186
Density of states at the Fermi level   4.20 states/eV/cell
Magnetic moment   0.000 Bohr magnetons per cell

The structure in POSCAR format:
```
BaAl
1.0
4.027 0.000 0.000
-2.013 3.487 0.000
0.000 0.000 11.829
Al Ba
2 2
Direct
0.333 0.667 0.041 Al
0.667 0.333 0.541 Al
0.333 0.667 0.330 Ba
0.667 0.333 0.830 Ba
```


The following is a PBE calculation of crystalline Ba3Al2 at its relaxed geometry, from the Alexandria database.

Summary:
Final energy   -0.195 Ry per atom
Space group   No. 164
Offset from the most stable computed form   9.49 kJ/mol of atoms
Density of states at the Fermi level   4.04 states/eV/cell
Magnetic moment   0.000 Bohr magnetons per cell

The structure in POSCAR format:
```
Ba3Al2
1.0
0.395 4.110 -4.089
-4.424 -3.767 -0.085
-3.925 4.516 4.159
Ba Al
3 2
Direct
0.000 0.000 0.000 Ba
0.333 0.667 0.338 Ba
0.667 0.333 0.662 Ba
0.667 0.333 0.138 Al
0.333 0.667 0.862 Al
```


Question: Number 1 is which compound?
Answer: BaAl